{"formula": "In3Hg5Bi12", "functional": "GGA-PBE", "state": "relaxed", "lattice_angstrom": [[17.229, 0.000, 0.000], [-5.743, 16.244, 0.000], [-5.743, -8.122, 14.067]], "species": ["In", "Hg", "Bi", "In", "Hg", "In", "Hg", "Bi", "Bi", "Bi", "Bi", "Hg", "Bi", "Bi", "Bi", "Bi", "Bi", "Bi", "Bi", "Hg", "Hg", "Hg", "Bi", "Bi", "Bi", "Bi", "Bi", "Bi", "In", "Bi", "In", "Bi", "Bi", "Bi", "Bi", "Hg", "Hg", "Hg", "Bi", "Hg", "In", "Hg", "Bi", "Hg", "In", "In", "Bi", "Hg", "Bi", "Bi", "Bi", "Bi", "Bi", "Bi", "Bi", "In", "Bi", "In", "Bi", "Bi", "Bi", "Hg", "Bi", "Hg", "Hg", "Bi", "Bi", "Hg", "Bi", "Bi", "In", "Bi", "Bi", "Bi", "Bi", "Bi", "Hg", "Hg", "In", "Bi"], "frac_coords": [[0.125, 0.875, 0.750], [0.625, 0.875, 0.250], [0.067, 0.131, 0.404], [0.750, 0.375, 0.125], [0.750, 0.125, 0.875], [0.750, 0.875, 0.625], [0.875, 0.250, 0.625], [0.433, 0.338, 0.564], [0.869, 0.933, 0.096], [0.933, 0.064, 0.838], [0.096, 0.662, 0.727], [0.625, 0.750, 0.875], [0.404, 0.773, 0.838], [0.162, 0.436, 0.067], [0.338, 0.904, 0.773], [0.933, 0.869, 0.596], [0.773, 0.369, 0.936], [0.596, 0.369, 0.933], [0.564, 0.727, 0.631], [0.875, 0.625, 0.750], [0.000, 0.000, 0.500], [0.500, 0.000, 0.500], [0.869, 0.936, 0.273], [0.662, 0.567, 0.936], [0.227, 0.596, 0.662], [0.838, 0.273, 0.404], [0.369, 0.596, 0.433], [0.936, 0.869, 0.773], [0.375, 0.750, 0.625], [0.727, 0.162, 0.096], [0.625, 0.375, 0.750], [0.273, 0.436, 0.869], [0.567, 0.662, 0.436], [0.596, 0.227, 0.162], [0.838, 0.564, 0.933], [0.250, 0.875, 0.125], [0.375, 0.125, 0.750], [0.500, 0.500, 0.500], [0.404, 0.631, 0.067], [0.125, 0.375, 0.250], [0.250, 0.625, 0.875], [0.375, 0.250, 0.125], [0.064, 0.131, 0.227], [0.000, 0.500, 0.500], [0.875, 0.125, 0.250], [0.250, 0.125, 0.375], [0.131, 0.067, 0.904], [0.250, 0.375, 0.625], [0.131, 0.064, 0.727], [0.096, 0.433, 0.869], [0.631, 0.227, 0.564], [0.936, 0.067, 0.662], [0.904, 0.338, 0.273], [0.727, 0.564, 0.131], [0.273, 0.838, 0.904], [0.375, 0.625, 0.250], [0.662, 0.096, 0.227], [0.875, 0.750, 0.125], [0.433, 0.096, 0.369], [0.067, 0.936, 0.162], [0.227, 0.631, 0.064], [0.500, 0.500, 0.000], [0.162, 0.727, 0.596], [0.125, 0.750, 0.375], [0.000, 0.500, 0.000], [0.904, 0.567, 0.131], [0.369, 0.773, 0.436], [0.750, 0.625, 0.375], [0.338, 0.433, 0.064], [0.631, 0.404, 0.567], [0.125, 0.250, 0.875], [0.436, 0.162, 0.567], [0.567, 0.904, 0.631], [0.436, 0.273, 0.369], [0.064, 0.933, 0.338], [0.773, 0.404, 0.338], [0.500, 0.000, 0.000], [0.000, 0.000, 0.000], [0.625, 0.250, 0.375], [0.564, 0.838, 0.433]]}

=====

{"formula": "InHgBi", "functional": "GGA-PBE", "state": "relaxed", "lattice_angstrom": [[-3.815, 1.052, 0.865], [-1.334, -2.381, -2.993], [-0.710, -8.175, 6.818]], "species": ["In", "Bi", "In", "Hg", "Hg", "Bi"], "frac_coords": [[0.994, 0.506, 0.409], [0.000, 0.500, 0.073], [0.494, 0.006, 0.591], [0.996, 0.504, 0.734], [0.496, 0.004, 0.266], [0.500, 0.000, 0.927]], "e_above_lowest_polymorph_ev_per_atom": 0.0057}

=====

{"formula": "InHg2Bi", "functional": "GGA-PBE", "state": "relaxed", "lattice_angstrom": [[3.468, 0.000, 0.000], [0.000, 5.645, 0.000], [0.000, 0.000, 5.645]], "species": ["Bi", "Hg", "Hg", "In"], "frac_coords": [[0.500, 0.000, 0.000], [0.000, 0.500, 0.000], [0.000, 0.000, 0.500], [0.500, 0.500, 0.500]]}

=====

{"formula": "InHgBi2", "functional": "GGA-PBE", "state": "relaxed", "lattice_angstrom": [[6.887, 0.000, 0.000], [0.000, 6.887, 0.000], [3.443, 3.443, 6.639]], "species": ["Bi", "Hg", "Bi", "Hg", "In", "Bi", "Bi", "In"], "frac_coords": [[0.375, 0.372, 0.750], [0.000, 0.000, 0.000], [0.628, 0.125, 0.250], [0.750, 0.250, 0.500], [0.250, 0.750, 0.500], [0.122, 0.625, 0.250], [0.875, 0.878, 0.750], [0.500, 0.500, 0.000]]}

=====

{"formula": "In2HgBi3", "functional": "GGA-PBE", "state": "relaxed", "lattice_angstrom": [[-4.063, 0.353, -0.019], [-0.070, -0.595, 4.034], [0.897, 10.397, 1.549]], "species": ["Bi", "Bi", "Hg", "In", "In", "Bi"], "frac_coords": [[0.000, 0.000, 0.000], [0.000, 0.000, 0.665], [0.500, 0.500, 0.500], [0.500, 0.500, 0.169], [0.500, 0.500, 0.831], [0.000, 0.000, 0.335]]}

=====

{"formula": "In12HgBi6", "functional": "GGA-PBE", "state": "relaxed", "lattice_angstrom": [[9.173, -0.438, -0.617], [-2.698, 8.778, -0.617], [-2.698, -3.476, 8.084]], "species": ["Bi", "In", "In", "Bi", "Bi", "In", "Bi", "Hg", "In", "Bi", "In", "In", "In", "In", "In", "Bi", "In", "In", "In"], "frac_coords": [[0.305, 0.305, 0.668], [0.500, 0.124, 0.876], [0.297, 0.035, 0.297], [0.668, 0.305, 0.305], [0.695, 0.332, 0.695], [0.965, 0.703, 0.703], [0.695, 0.695, 0.332], [0.000, 0.000, 0.000], [0.703, 0.703, 0.965], [0.332, 0.695, 0.695], [0.876, 0.500, 0.124], [0.124, 0.500, 0.876], [0.703, 0.965, 0.703], [0.876, 0.124, 0.500], [0.297, 0.297, 0.035], [0.305, 0.668, 0.305], [0.124, 0.876, 0.500], [0.500, 0.876, 0.124], [0.035, 0.297, 0.297]], "e_above_lowest_polymorph_ev_per_atom": 0.0000}

=====

{"formula": "In4HgBi", "functional": "GGA-PBE", "state": "relaxed", "lattice_angstrom": [[-3.536, -4.117, 0.676], [1.107, 0.383, 8.123], [-6.087, 5.360, 0.577]], "species": ["In", "In", "Hg", "In", "In", "In", "Bi", "In", "In", "Bi", "In", "Hg"], "frac_coords": [[0.001, 0.858, 0.635], [0.499, 0.358, 0.365], [0.000, 0.500, 0.500], [0.501, 0.642, 0.635], [0.501, 0.865, 0.166], [0.999, 0.365, 0.834], [0.500, 0.500, 0.000], [0.999, 0.142, 0.365], [0.001, 0.635, 0.166], [0.000, 0.000, 0.000], [0.499, 0.135, 0.834], [0.500, 0.000, 0.500]], "e_above_lowest_polymorph_ev_per_atom": 0.0263}

=====

{"formula": "InHg3Bi2", "functional": "GGA-PBE", "state": "relaxed", "lattice_angstrom": [[-0.723, 6.049, -4.463], [-1.726, -5.741, -4.593], [-7.123, 0.597, 0.797]], "species": ["Hg", "Hg", "In", "Bi", "Bi", "Hg", "Bi", "Hg", "Bi", "In", "Hg", "Hg"], "frac_coords": [[0.310, 0.583, 0.064], [0.690, 0.417, 0.936], [0.722, 0.778, 0.750], [0.301, 0.977, 0.941], [0.699, 0.023, 0.059], [0.891, 0.609, 0.250], [0.523, 0.199, 0.559], [0.109, 0.391, 0.750], [0.477, 0.801, 0.441], [0.278, 0.222, 0.250], [0.917, 0.190, 0.436], [0.083, 0.810, 0.564]]}

=====

{"formula": "InHg2Bi", "functional": "GGA-PBE", "state": "relaxed", "lattice_angstrom": [[5.651, -2.570, -2.861], [-2.444, 5.706, 2.861], [-3.365, 0.233, 5.945]], "species": ["Hg", "In", "Hg", "Bi"], "frac_coords": [[0.000, 0.244, 0.244], [0.000, 0.000, 0.000], [0.000, 0.756, 0.756], [0.000, 0.500, 0.500]]}

=====

{"formula": "In5Hg2Bi2", "functional": "GGA-PBE", "state": "relaxed", "lattice_angstrom": [[7.201, 0.000, -0.332], [0.000, 6.984, 0.000], [-4.003, -3.492, 10.737]], "species": ["Bi", "Bi", "Bi", "In", "In", "Hg", "Hg", "In", "In", "In", "Hg", "In", "In", "In", "Bi", "Hg", "In", "In"], "frac_coords": [[0.000, 0.923, 0.000], [0.945, 0.908, 0.563], [0.500, 0.526, 0.000], [0.614, 0.512, 0.329], [0.318, 0.055, 0.319], [0.807, 0.439, 0.859], [0.486, 0.068, 0.128], [0.870, 0.313, 0.140], [0.682, 0.735, 0.681], [0.708, 0.278, 0.550], [0.514, 0.941, 0.872], [0.151, 0.605, 0.744], [0.292, 0.728, 0.450], [0.130, 0.173, 0.860], [0.055, 0.345, 0.437], [0.193, 0.580, 0.141], [0.849, 0.861, 0.256], [0.386, 0.183, 0.671]], "e_above_lowest_polymorph_ev_per_atom": 0.0110}

=====

{"formula": "In4Hg3Bi3", "functional": "GGA-PBE", "state": "relaxed", "lattice_angstrom": [[-1.495, -1.925, -8.817], [-3.447, -6.685, 5.208], [-4.058, 7.919, 2.123]], "species": ["Hg", "Hg", "Bi", "In", "In", "Bi", "Bi", "In", "In", "Bi", "Bi", "Hg", "In", "Bi", "In", "In", "Hg", "Hg", "In", "Hg"], "frac_coords": [[0.750, 0.625, 0.375], [0.375, 0.125, 0.750], [0.875, 0.625, 0.750], [0.279, 0.779, 0.779], [0.721, 0.500, 0.000], [0.750, 0.125, 0.875], [0.125, 0.750, 0.375], [0.221, 0.500, 0.000], [0.000, 0.000, 0.221], [0.625, 0.875, 0.250], [0.250, 0.375, 0.625], [0.250, 0.875, 0.125], [0.779, 0.279, 0.279], [0.375, 0.250, 0.125], [0.500, 0.721, 0.500], [0.000, 0.000, 0.721], [0.125, 0.375, 0.250], [0.625, 0.750, 0.875], [0.500, 0.221, 0.500], [0.875, 0.250, 0.625]]}

=====

{"formula": "In9Hg2Bi", "functional": "GGA-PBE", "state": "relaxed", "lattice_angstrom": [[-1.773, -3.342, -3.364], [4.505, -2.308, -0.081], [-3.786, -7.730, 9.674]], "species": ["In", "In", "Bi", "In", "In", "In", "In", "In", "In", "Hg", "Hg", "In"], "frac_coords": [[0.000, 0.500, 0.500], [0.000, 0.500, 0.829], [0.000, 0.000, 0.000], [0.500, 0.500, 0.332], [0.500, 0.000, 0.500], [0.500, 0.000, 0.171], [0.000, 0.500, 0.171], [0.500, 0.000, 0.829], [0.500, 0.500, 0.000], [0.000, 0.000, 0.337], [0.000, 0.000, 0.663], [0.500, 0.500, 0.668]]}

=====

{"formula": "In3HgBi4", "functional": "GGA-PBE", "state": "relaxed", "lattice_angstrom": [[-1.400, 0.562, 3.193], [-5.024, -2.025, -1.816], [2.309, -7.615, 16.066]], "species": ["Bi", "Hg", "In", "Bi", "Bi", "Bi", "In", "In"], "frac_coords": [[0.297, 0.249, 0.498], [0.000, 0.500, 0.000], [0.206, 0.029, 0.225], [0.703, 0.751, 0.502], [0.662, 0.547, 0.240], [0.338, 0.453, 0.760], [0.500, 0.000, 0.000], [0.794, 0.971, 0.775]]}

=====

{"formula": "In2HgBi", "functional": "GGA-PBE", "state": "relaxed", "lattice_angstrom": [[-4.862, 5.240, -4.650], [-7.001, -3.427, 3.458], [-5.835, 3.094, 1.768]], "species": ["In", "In", "Bi", "In", "In", "Hg", "Hg", "Bi"], "frac_coords": [[0.375, 0.380, 0.750], [0.875, 0.870, 0.750], [0.000, 0.000, 0.000], [0.130, 0.625, 0.250], [0.620, 0.125, 0.250], [0.250, 0.750, 0.500], [0.500, 0.500, 0.000], [0.750, 0.250, 0.500]], "e_above_lowest_polymorph_ev_per_atom": 0.0762}

=====

{"formula": "In2Hg2Bi", "functional": "GGA-PBE", "state": "relaxed", "lattice_angstrom": [[8.878, 0.000, 0.000], [0.000, 8.878, 0.000], [0.000, 0.000, 3.528]], "species": ["In", "In", "Hg", "Hg", "In", "Hg", "Bi", "In", "Bi", "Hg"], "frac_coords": [[0.137, 0.637, 0.500], [0.363, 0.137, 0.500], [0.837, 0.663, 0.000], [0.663, 0.163, 0.000], [0.863, 0.363, 0.500], [0.337, 0.837, 0.000], [0.000, 0.000, 0.000], [0.637, 0.863, 0.500], [0.500, 0.500, 0.000], [0.163, 0.337, 0.000]], "e_above_lowest_polymorph_ev_per_atom": 0.0358}

=====

{"formula": "In5Hg4Bi2", "functional": "GGA-PBE", "state": "relaxed", "lattice_angstrom": [[-2.639, -2.015, 0.571], [-4.357, 2.684, -9.265], [9.852, -8.457, 5.067]], "species": ["Bi", "In", "In", "Bi", "Hg", "In", "Hg", "In", "In", "Hg", "Hg"], "frac_coords": [[0.129, 0.752, 0.222], [0.753, 0.162, 0.506], [0.848, 0.873, 0.721], [0.871, 0.248, 0.778], [0.035, 0.324, 0.062], [0.500, 0.000, 0.000], [0.696, 0.460, 0.353], [0.152, 0.127, 0.279], [0.247, 0.838, 0.494], [0.965, 0.676, 0.938], [0.304, 0.540, 0.647]], "e_above_lowest_polymorph_ev_per_atom": 0.0000}

=====

{"formula": "In5Hg3Bi", "functional": "GGA-PBE", "state": "relaxed", "lattice_angstrom": [[-3.260, 5.499, 1.988], [-0.601, -3.469, 8.611], [7.319, 5.211, -2.415]], "species": ["In", "In", "Hg", "In", "In", "Hg", "Hg", "Bi", "In", "In", "In", "Hg", "Hg", "In", "In", "Bi", "Hg", "In"], "frac_coords": [[0.250, 0.692, 0.000], [0.000, 0.667, 0.333], [0.250, 0.000, 0.359], [0.750, 0.692, 0.692], [0.250, 0.000, 0.692], [0.250, 0.641, 0.641], [0.750, 0.359, 0.359], [0.000, 0.000, 0.000], [0.750, 0.308, 0.000], [0.750, 0.000, 0.308], [0.500, 0.667, 0.333], [0.250, 0.359, 0.000], [0.750, 0.000, 0.641], [0.250, 0.308, 0.308], [0.000, 0.333, 0.667], [0.500, 0.000, 0.000], [0.750, 0.641, 0.000], [0.500, 0.333, 0.667]]}

=====

{"formula": "In12Hg7Bi", "functional": "GGA-PBE", "state": "relaxed", "lattice_angstrom": [[-3.255, 5.154, 4.142], [-9.547, -5.802, -4.948], [-6.584, -4.176, 4.567]], "species": ["Hg", "Hg", "In", "In", "In", "In", "Hg", "In", "In", "Hg", "Hg", "Hg", "Bi", "In", "In", "In", "In", "Hg", "In", "In"], "frac_coords": [[0.039, 0.695, 0.147], [0.248, 0.108, 0.229], [0.438, 0.025, 0.663], [0.671, 0.431, 0.233], [0.063, 0.749, 0.762], [0.174, 0.195, 0.504], [0.961, 0.305, 0.853], [0.826, 0.805, 0.496], [0.648, 0.432, 0.888], [0.574, 0.666, 0.296], [0.426, 0.334, 0.704], [0.500, 0.000, 0.000], [0.000, 0.000, 0.000], [0.562, 0.975, 0.337], [0.149, 0.673, 0.452], [0.329, 0.569, 0.767], [0.937, 0.251, 0.238], [0.752, 0.892, 0.771], [0.851, 0.327, 0.548], [0.352, 0.568, 0.112]], "e_above_lowest_polymorph_ev_per_atom": 0.0084}

=====

How do the records compare in DFT total energy? In the order shown, they have -2.652 -2.265 -1.746 -2.559 -2.827 -2.902 -2.471 -1.843 -1.760 -2.409 -2.267 -2.407 -2.960 -2.357 -1.941 -2.039 -2.040 -1.912 eV per atom.
How do the records compare in volume? In the order shown, they have 3936.9 175.0 110.5 314.9 175.5 600.6 364.9 394.7 122.0 530.7 589.3 331.9 245.0 234.4 278.1 316.2 501.8 553.1 Å³ per cell.